Record 1
Li7TlPd3: relaxed, PBE-GGA.

It has space group Cmcm (No. 63), with a = 2.8806 Å, b = 21.6736 Å, c = 11.9977 Å, α = 90.00°, β = 90.00° and γ = 90.00°. The asymmetric unit holds Li at (0.0000, 0.0645, 0.1241), Li at (0.0000, 0.1036, 0.5926), Li at (0.0000, 0.1881, 0.2500), Li at (0.0000, 0.2235, 0.5972), Tl at (0.0000, 0.4714, 0.2500), Pd at (0.0000, 0.3374, 0.2500) and Pd at (0.0000, 0.3399, 0.5609).

For the total magnetization, the calculation gives 0.0 μB per formula unit. Its energy of formation from the pure elements is -0.284 eV per atom.

Record 2
TlCuGe: relaxed, PBE-GGA.

It has space group P-1 (No. 2), with a = 4.3258 Å, b = 4.4013 Å, c = 7.2254 Å, α = 88.90°, β = 86.76° and γ = 82.68°. The asymmetric unit holds Tl at (0.2302, 0.2578, 0.1493), Cu at (0.2139, 0.6762, 0.4904) and Ge at (0.2967, 0.1657, 0.6439).

For the total magnetization, the calculation gives 0.0 μB per formula unit. Its energy of formation from the pure elements is 0.094 eV per atom.

Record 3
Sm6As5Br: relaxed, PBE-GGA.

It has space group C2/m (No. 12), with a = 7.3315 Å, b = 12.6710 Å, c = 7.3022 Å, α = 90.00°, β = 109.50° and γ = 90.00°. The asymmetric unit holds Sm at (0.2359, 0.0000, 0.2588), Sm at (0.2379, 0.1754, 0.7409), As at (0.0000, 0.0000, 0.5000), As at (0.0000, 0.1674, 0.0000), As at (0.0000, 0.3384, 0.5000) and Br at (0.0000, 0.5000, 0.0000).

As for the formation energy without anion corrections: -1.54 eV per atom. For the total magnetization, the calculation gives 0.0 μB per formula unit.

Record 4
CePu6O12: relaxed, PBE-GGA.

It has space group R-3 (No. 148, hexagonal axes), with a = 10.2242 Å, b = 10.2242 Å, c = 9.4057 Å, α = 90.00°, β = 90.00° and γ = 120.00°. The asymmetric unit holds Ce at (0.0000, 0.0000, 0.0000), Pu at (0.0455, 0.2530, 0.6544), O at (0.0356, 0.2217, 0.3990) and O at (0.0406, 0.2184, 0.8945).

As for the formation energy without anion corrections: -3.15 eV per atom. For the total magnetization, the calculation gives 28.0 μB per formula unit.

Record 5
ZrIr2Au: relaxed, PBE-GGA.

It has space group P4mm (No. 99), with a = 2.8644 Å, b = 2.8644 Å, c = 8.2492 Å, α = 90.00°, β = 90.00° and γ = 90.00°. The asymmetric unit holds Zr at (0.0000, 0.0000, 0.0000), Ir at (0.0000, 0.0000, 0.5240), Ir at (0.5000, 0.5000, 0.7390) and Au at (0.5000, 0.5000, 0.2658).

For the total magnetization, the calculation gives 0.2 μB per formula unit. Its energy of formation from the pure elements is -0.117 eV per atom.

Record 6
Ca2Sm4N: relaxed, PBE-GGA.

It has space group I4/mmm (No. 139), with a = 5.0484 Å, b = 5.0484 Å, c = 18.2215 Å, α = 90.00°, β = 90.00° and γ = 90.00°. The asymmetric unit holds Ca at (0.0000, 0.0000, 0.1658), Sm at (0.0000, 0.0000, 0.3723), Sm at (0.0000, 0.5000, 0.0000) and N at (0.0000, 0.0000, 0.5000).

As for the formation energy without anion corrections: -0.22 eV per atom. For the total magnetization, the calculation gives 0.0 μB per formula unit.

Record 7
YCo3H2: relaxed, PBE-GGA.

It has space group R-3m (No. 166, hexagonal axes), with a = 4.9362 Å, b = 4.9362 Å, c = 27.3696 Å, α = 90.00°, β = 90.00° and γ = 120.00°. The asymmetric unit holds Y at (0.0000, 0.0000, 0.0000), Y at (0.0000, 0.0000, 0.1281), Co at (0.0000, 0.0000, 0.3321), Co at (0.0000, 0.0000, 0.5000), Co at (0.0017, 0.5009, 0.0716) and H at (0.0060, 0.5030, 0.1344).

The calculation puts the uncorrected energy at -5.98 eV/atom. For the total magnetization, the calculation gives 3.2 μB per formula unit.